Entry 1:
PuCdGePd: optimized geometry, PBE.

Lattice parameters (Å, degrees): 6.8948 6.8948 6.8948 90.00 90.00 90.00
Last column: nearest neighbours and their distance in Å.
Space group F-43m (No. 216)
Inequivalent atoms, fractional coordinates:
Pu 0.0000 0.0000 0.0000 [4 per cell]  4 Pd 2.99, 4 Ge 2.99
Cd 0.0000 0.0000 0.5000 [4 per cell]  4 Ge 2.99, 4 Pd 2.99
Ge 0.2500 0.2500 0.7500 [4 per cell]  4 Cd 2.99, 4 Pu 2.99
Pd 0.2500 0.2500 0.2500 [4 per cell]  4 Cd 2.99, 4 Pu 2.99

Calculated values
N(E_F) = 10.4 states/eV/f.u.
formation energy = -0.298 eV/atom
density = 10.85 g cm⁻³

---

Entry 2:
CeTmH2: optimized geometry, PBE.

Lattice parameters (Å, degrees): 3.3740 3.3740 18.0479 90.00 90.00 120.00
Last column: nearest neighbours and their distance in Å.
Space group R3m (No. 160, hexagonal axes)
Inequivalent atoms, fractional coordinates:
Ce 0.0000 0.0000 0.0000 [3 per cell]  6 H 2.50-2.68
Tm 0.0000 0.0000 0.1756 [3 per cell]  6 H 2.33-2.36
H 0.0000 0.0000 0.5798 [3 per cell]  3 Tm 2.33, 3 Ce 2.50
H 0.0000 0.0000 0.7688 [3 per cell]  3 Tm 2.36

Calculated values
N(E_F) = 4.0 states/eV/f.u.
ΔE to the lowest computed polymorph = 0.074 eV per atom
density = 8.71 g cm⁻³

---

Entry 3:
Dy2Y12Sc: optimized geometry, PBE.

Lattice parameters (Å, degrees): 6.4324 6.4324 24.7373 90.00 90.00 90.00
Last column: nearest neighbours and their distance in Å.
Space group P4/nbm (No. 125, origin choice 2)
Inequivalent atoms, fractional coordinates:
Dy 0.2500 0.7500 0.2291 [4 per cell]  8 Y 3.54-3.60
Y 0.0639 0.5639 0.3904 [8 per cell]  1 Sc 3.20, 7 Y 3.32-3.44
Y 0.0814 0.5814 0.0622 [8 per cell]  6 Y 3.07-3.41
Y 0.2500 0.2500 0.1635 [4 per cell]  5 Y 3.10-3.46
Y 0.2500 0.2500 0.2887 [4 per cell]  5 Y 3.10-3.44
Sc 0.2500 0.7500 0.5000 [2 per cell]  4 Y 3.20

Calculated values
N(E_F) = 23.9 states/eV/f.u.
formation energy = 0.366 eV/atom
density = 4.66 g cm⁻³

---

Entry 4:
Pa6S12Br: optimized geometry, PBE.

Lattice parameters (Å, degrees): 12.7030 12.7030 10.0267 90.00 90.00 120.00
Last column: nearest neighbours and their distance in Å.
Space group R-3m (No. 166, hexagonal axes)
Inequivalent atoms, fractional coordinates:
Pa 0.0581 0.5290 0.2797 [18 per cell]  7 S 2.67-2.83
S 0.0000 0.3707 0.5000 [18 per cell]  4 Pa 2.82-2.83
S 0.0882 0.1765 0.3632 [18 per cell]  3 Pa 2.67-2.73
Br 0.0000 0.0000 0.0000 [3 per cell]  18 S 4.13-4.35, 6 Pa 4.34

Calculated values
uncorrected formation energy = -1510 meV per atom
N(E_F) = 16.7 states/eV/f.u.
density = 6.58 g cm⁻³

---

Entry 5:
Pu8Ir3Rh2: optimized geometry, PBE.

Lattice parameters (Å, degrees): 13.5949 9.5365 4.8018 90.00 90.26 90.00
Last column: nearest neighbours and their distance in Å.
Space group C2/m (No. 12)
Inequivalent atoms, fractional coordinates:
Pu 0.1228 0.0000 0.0002 [4 per cell]  2 Ir 2.90, 2 Rh 2.94-2.96
Pu 0.1237 0.2479 0.5012 [8 per cell]  2 Rh 2.92-2.96, 3 Ir 2.93
Pu 0.1268 0.5000 0.0008 [4 per cell]  2 Rh 2.92-2.94, 4 Ir 2.95-2.96
Ir 0.0000 0.2487 0.0000 [4 per cell]  8 Pu 2.90-2.95
Ir 0.0000 0.5000 0.5000 [2 per cell]  8 Pu 2.93-2.96
Rh 0.2495 0.0000 0.4993 [4 per cell]  8 Pu 2.92-2.96

Calculated values
N(E_F) = 48.2 states/eV/f.u.
formation energy = -0.292 eV/atom
ΔE to the lowest computed polymorph = 0.000 eV per atom
density = 14.59 g cm⁻³

---

Entry 6:
Tl3AsBr6: optimized geometry, PBE.

Lattice parameters (Å, degrees): 7.6246 8.3994 13.4379 90.00 123.33 90.00
Last column: nearest neighbours and their distance in Å.
Space group P2_1/c (No. 14)
Inequivalent atoms, fractional coordinates:
Tl 0.0000 0.0000 0.0000 [2 per cell]  6 Br 3.26-3.30
Tl 0.2117 0.0813 0.7463 [4 per cell]  6 Br 3.34-3.66
As 0.5000 0.0000 0.5000 [2 per cell]  6 Br 2.68-2.70
Br 0.1626 0.1676 0.4521 [4 per cell]  1 As 2.68
Br 0.2748 0.7282 0.4337 [4 per cell]  1 As 2.70
Br 0.3953 0.0448 0.2760 [4 per cell]  1 As 2.68

Calculated values
uncorrected formation energy = -685 meV per atom
N(E_F) = 0.0 states/eV/f.u.
density = 5.39 g cm⁻³

---

Please write out number 4 again, unchanged.
Pa6S12Br: optimized geometry, PBE.

Lattice parameters (Å, degrees): 12.7030 12.7030 10.0267 90.00 90.00 120.00
Last column: nearest neighbours and their distance in Å.
Space group R-3m (No. 166, hexagonal axes)
Inequivalent atoms, fractional coordinates:
Pa 0.0581 0.5290 0.2797 [18 per cell]  7 S 2.67-2.83
S 0.0000 0.3707 0.5000 [18 per cell]  4 Pa 2.82-2.83
S 0.0882 0.1765 0.3632 [18 per cell]  3 Pa 2.67-2.73
Br 0.0000 0.0000 0.0000 [3 per cell]  18 S 4.13-4.35, 6 Pa 4.34

Calculated values
uncorrected formation energy = -1510 meV per atom
N(E_F) = 16.7 states/eV/f.u.
density = 6.58 g cm⁻³

---

Q: Which of these has the highest N(E_F)?
A: Pu8Ir3Rh2